Record 1
{
  "formula": "CePN",
  "functional": "PBE",
  "state": "relaxed",
  "lattice": [[5.9938, 1.6697, 0.0000], [1.5675, 6.0213, 0.0000], [-3.7806, -3.8455, 6.4767]],
  "species": ["N", "N", "N", "N", "Ce", "Ce", "Ce", "Ce", "P", "P", "P", "P"],
  "frac_coords": [[0.6246, 0.6246, 0.2491], [0.3754, 0.3754, 0.7509], [0.6254, 0.1254, 0.2509], [0.8746, 0.3746, 0.7491], [0.9133, 0.4133, 0.5000], [0.6633, 0.6633, 0.0000], [0.5867, 0.0867, 0.5000], [0.3367, 0.3367, 0.0000], [0.1250, 0.3750, 0.2500], [0.1250, 0.8750, 0.7500], [0.1250, 0.8750, 0.2500], [0.6250, 0.8750, 0.7500]],
  "e_above_lowest_polymorph_mev_per_atom": 512,
  "dos_at_fermi_per_ev_fu": 1.89,
  "raw_formation_energy_ev_per_atom": -0.627
}


Record 2
{
  "formula": "InSb4Te",
  "functional": "PBE",
  "state": "relaxed",
  "lattice": [[-5.1590, 2.0733, 3.0003], [-4.4009, 3.2492, -3.1607], [-5.6193, -2.6296, -1.1933]],
  "species": ["In", "Sb", "Sb", "Sb", "Sb", "Te"],
  "frac_coords": [[0.0000, 0.0000, 0.0000], [0.8688, 0.3771, 0.3771], [0.3771, 0.3771, 0.8688], [0.3771, 0.8688, 0.3771], [0.3771, 0.3771, 0.3771], [0.7500, 0.7500, 0.7500]],
  "dos_at_fermi_per_ev_fu": 3.12,
  "raw_formation_energy_ev_per_atom": 0.243
}